No. 1
{
  "formula": "YMg3Pd",
  "functional": "PBE-GGA",
  "state": "optimized geometry",
  "de_polymorph_mev_per_atom": 217,
  "lattice": [[-3.412, 2.800, -2.276], [-3.287, -3.705, 0.370], [-1.489, 1.761, 4.399]],
  "species": ["Pd", "Mg", "Mg", "Mg", "Y"],
  "frac_coords": [[0.000, 0.000, 0.000], [0.000, 0.500, 0.000], [0.500, 0.000, 0.000], [0.000, 0.000, 0.500], [0.500, 0.500, 0.500]]
}



No. 2
{
  "formula": "NbTe2AsN",
  "functional": "PBE-GGA",
  "state": "optimized geometry",
  "de_polymorph_mev_per_atom": 624,
  "formation_energy_uncorrected_mev_per_atom": 952,
  "lattice": [[5.528, 0.000, 0.000], [0.000, 5.528, 0.000], [0.000, 0.000, 3.614]],
  "species": ["Te", "Te", "Nb", "N", "As"],
  "frac_coords": [[0.000, 0.500, 0.000], [0.500, 0.000, 0.000], [0.500, 0.500, 0.500], [0.000, 0.000, 0.500], [0.000, 0.000, 0.000]]
}



No. 3
{
  "formula": "K5Ru3",
  "functional": "PBE-GGA",
  "state": "optimized geometry",
  "de_polymorph_mev_per_atom": 0,
  "lattice": [[-2.612, 8.924, 1.393], [-3.131, -0.409, -8.856], [-3.147, -1.103, 1.164]],
  "species": ["Ru", "Ru", "Ru", "K", "K", "K", "K", "K"],
  "frac_coords": [[0.381, 0.619, 0.500], [0.619, 0.381, 0.500], [0.500, 0.500, 0.000], [0.500, 0.000, 0.000], [0.000, 0.000, 0.000], [0.716, 0.716, 0.500], [0.284, 0.284, 0.500], [0.000, 0.500, 0.000]]
}



No. 4
{
  "formula": "Sm2Ho2TmSc2",
  "functional": "PBE-GGA",
  "state": "optimized geometry",
  "energy_ev_per_atom": -4.996,
  "lattice": [[-1.198, -0.156, -3.195], [-1.822, -4.913, 2.748], [-10.680, 1.853, 3.913]],
  "species": ["Sm", "Sm", "Tm", "Sc", "Sc", "Ho", "Ho"],
  "frac_coords": [[0.329, 0.657, 0.089], [0.671, 0.343, 0.911], [0.000, 0.000, 0.500], [0.771, 0.542, 0.369], [0.229, 0.458, 0.631], [0.546, 0.092, 0.234], [0.454, 0.908, 0.766]]
}



No. 5
{
  "formula": "RbMn2Ge2",
  "functional": "PBE-GGA",
  "state": "optimized geometry",
  "de_polymorph_mev_per_atom": 0,
  "lattice": [[-0.689, -0.944, 3.914], [-1.857, -3.448, -1.159], [4.943, -5.634, 1.642]],
  "species": ["Rb", "Ge", "Ge", "Mn", "Mn"],
  "frac_coords": [[0.000, 0.000, 0.000], [0.343, 0.343, 0.314], [0.657, 0.657, 0.686], [0.750, 0.250, 0.500], [0.250, 0.750, 0.500]]
}



No. 6
{
  "formula": "Ba2LiPtAu",
  "functional": "PBE-GGA",
  "state": "optimized geometry",
  "de_polymorph_mev_per_atom": 0,
  "lattice": [[4.544, 0.000, 0.000], [0.000, 4.544, 0.000], [0.000, 0.000, 15.230]],
  "species": ["Ba", "Ba", "Ba", "Ba", "Au", "Au", "Pt", "Pt", "Li", "Li"],
  "frac_coords": [[0.000, 0.500, 0.688], [0.500, 0.000, 0.312], [0.500, 0.000, 0.897], [0.000, 0.500, 0.103], [0.500, 0.000, 0.605], [0.000, 0.500, 0.395], [0.500, 0.000, 0.111], [0.000, 0.500, 0.889], [0.000, 0.000, 0.500], [0.500, 0.500, 0.500]]
}



No. 7
{
  "formula": "Ta2Ir",
  "functional": "PBE-GGA",
  "state": "optimized geometry",
  "energy_ev_per_atom": -11.229,
  "lattice": [[1.818, -6.503, 0.000], [1.818, 6.503, 0.000], [0.000, 0.000, 4.304]],
  "species": ["Ir", "Ir", "Ta", "Ta", "Ta", "Ta"],
  "frac_coords": [[0.079, 0.921, 0.250], [0.921, 0.079, 0.750], [0.252, 0.748, 0.750], [0.748, 0.252, 0.250], [0.578, 0.422, 0.750], [0.422, 0.578, 0.250]]
}



No. 8
{
  "formula": "Na3Ce3AlO8",
  "functional": "PBE-GGA",
  "state": "optimized geometry",
  "formation_energy_uncorrected_mev_per_atom": -2647,
  "lattice": [[-0.559, 4.831, -4.806], [-4.055, 0.166, 5.503], [6.660, 1.385, 0.618]],
  "species": ["Ce", "Ce", "Ce", "Na", "Na", "Na", "O", "O", "O", "O", "O", "O", "O", "O", "Al"],
  "frac_coords": [[0.000, 0.500, 0.500], [0.500, 0.500, 0.500], [0.500, 0.000, 0.500], [0.000, 0.500, 0.000], [0.000, 0.000, 0.000], [0.500, 0.500, 0.000], [0.741, 0.482, 0.723], [0.791, 0.581, 0.310], [0.259, 0.518, 0.277], [0.772, 0.981, 0.690], [0.791, 0.019, 0.310], [0.209, 0.981, 0.690], [0.209, 0.419, 0.690], [0.228, 0.019, 0.310], [0.000, 0.000, 0.500]]
}



No. 9
{
  "formula": "LaPmVN3",
  "functional": "PBE-GGA",
  "state": "optimized geometry",
  "formation_energy_uncorrected_mev_per_atom": -1266,
  "lattice": [[-0.905, 0.537, 3.749], [6.735, -1.443, -0.191], [-0.414, 7.056, -1.111]],
  "species": ["V", "V", "N", "N", "N", "N", "N", "N", "Pm", "Pm", "La", "La"],
  "frac_coords": [[0.000, 0.999, 0.233], [0.000, 0.001, 0.767], [0.844, 0.688, 0.168], [0.156, 0.312, 0.832], [0.500, 0.999, 0.238], [0.500, 0.001, 0.762], [0.155, 0.309, 0.323], [0.845, 0.691, 0.677], [0.647, 0.294, 0.073], [0.353, 0.706, 0.927], [0.356, 0.711, 0.427], [0.644, 0.289, 0.573]]
}



No. 10
{
  "formula": "TaFe2Hg",
  "functional": "PBE-GGA",
  "state": "optimized geometry",
  "energy_ev_per_atom": -6.943,
  "lattice": [[4.932, -0.011, 0.000], [1.993, 4.511, 0.000], [-3.462, -2.250, 2.697]],
  "species": ["Fe", "Fe", "Ta", "Hg"],
  "frac_coords": [[0.250, 0.750, 0.500], [0.000, 0.000, 0.000], [0.750, 0.250, 0.500], [0.500, 0.500, 0.000]]
}



No. 11
{
  "formula": "HfZrAs2",
  "functional": "PBE-GGA",
  "state": "optimized geometry",
  "de_polymorph_mev_per_atom": 0,
  "lattice": [[-2.711, -1.872, -1.847], [-0.799, -3.572, 0.931], [-5.619, 0.320, 4.062]],
  "species": ["As", "As", "Hf", "Zr"],
  "frac_coords": [[0.081, 0.081, 0.756], [0.252, 0.252, 0.244], [0.671, 0.671, 0.986], [0.495, 0.495, 0.514]]
}



No. 12
{
  "formula": "GaFeReH",
  "functional": "PBE-GGA",
  "state": "optimized geometry",
  "de_polymorph_mev_per_atom": 55,
  "lattice": [[2.825, 0.000, 0.000], [0.000, 2.726, 0.000], [0.000, 0.000, 11.385]],
  "species": ["Re", "Re", "H", "H", "Fe", "Fe", "Ga", "Ga"],
  "frac_coords": [[0.000, 0.000, 0.723], [0.000, 0.500, 0.223], [0.500, 0.500, 0.753], [0.500, 0.000, 0.253], [0.500, 0.000, 0.082], [0.500, 0.500, 0.582], [0.000, 0.500, 0.936], [0.000, 0.000, 0.436]]
}



No. 13
{
  "formula": "Zr2VFe",
  "functional": "PBE-GGA",
  "state": "optimized geometry",
  "de_polymorph_mev_per_atom": 525,
  "lattice": [[-0.217, -1.724, -2.423], [2.393, -0.466, -1.717], [2.994, -8.381, 3.860]],
  "species": ["V", "Fe", "Zr", "Zr"],
  "frac_coords": [[0.000, 0.000, 0.000], [0.500, 0.500, 0.500], [0.093, 0.093, 0.720], [0.907, 0.907, 0.280]]
}



No. 14
{
  "formula": "Ho2NpN",
  "functional": "PBE-GGA",
  "state": "optimized geometry",
  "de_polymorph_mev_per_atom": 0,
  "formation_energy_uncorrected_mev_per_atom": -408,
  "lattice": [[-1.474, 2.955, -0.521], [-1.334, 0.700, -2.985], [-9.228, -2.416, 1.685]],
  "species": ["Np", "N", "Ho", "Ho"],
  "frac_coords": [[0.000, 0.000, 0.000], [0.500, 0.500, 0.500], [0.119, 0.119, 0.643], [0.881, 0.881, 0.357]]
}